DFT (PBE with a Hubbard U) results for a geometry-optimized CaMnTcO6 structure.

Lattice parameters (Å, degrees): 4.9117 4.9117 9.3506 90.00 90.00 90.00
Closest atoms and distances in Å follow each position.
Positions (direct):
Ca 0.0000 0.0000 0.0000  6 O 2.28-2.37
Ca 0.5000 0.5000 0.5000  6 O 2.28-2.37
Mn 0.0000 0.0000 0.3345  6 O 1.93-2.13
Mn 0.5000 0.5000 0.8345  6 O 1.93-2.13
Tc 0.0000 0.0000 0.6674  6 O 1.82-1.98
Tc 0.5000 0.5000 0.1674  6 O 1.82-1.98
O 0.1708 0.1708 0.4974  1 Mn 1.93, 1 Tc 1.98
O 0.1988 0.1988 0.7938  1 Tc 1.82
O 0.2224 0.2224 0.1796  1 Tc 1.93, 1 Mn 2.12
O 0.2776 0.7224 0.6796  1 Tc 1.93, 1 Mn 2.12
O 0.3012 0.6988 0.2938  1 Tc 1.82
O 0.3292 0.6708 0.9974  1 Mn 1.93, 1 Tc 1.98
O 0.6708 0.3292 0.9974  1 Mn 1.93, 1 Tc 1.98
O 0.6988 0.3012 0.2938  1 Tc 1.82
O 0.7224 0.2776 0.6796  1 Tc 1.93, 1 Mn 2.12
O 0.7776 0.7776 0.1796  1 Tc 1.93, 1 Mn 2.12
O 0.8012 0.8012 0.7938  1 Tc 1.82
O 0.8292 0.8292 0.4974  1 Mn 1.93, 1 Tc 1.98

Computed properties:
Space-group type: P4_2nm (102)
Electronic total energy in eV/atom: -7.19
Theoretical density in g/cm3: 4.3